Entry 1:
Crystalline LaMgSc2Co at its relaxed geometry, computed with PBE.

Values from the calculation:
density of states at the Fermi level	0.856	states/eV/atom
total moment	0.00	μB/atom
E_form	-0.08	eV per atom
calculated total energy	-0.39268	Ry/atom

Unit cell a=4.8691 b=4.8691 c=5.0939 alpha=90.00 beta=90.00 gamma=90.00
Last column: nearest neighbours and their distance in Å.
Fractional positions:
1 Sc 0.0000 0.5000 0.0000  2 Co 2.43
2 Sc 0.5000 0.0000 0.0000  2 Co 2.43
3 Mg 0.0000 0.0000 0.5000  2 Co 2.55
4 Co 0.0000 0.0000 0.0000  4 Sc 2.43, 2 Mg 2.55
5 La 0.5000 0.5000 0.5000  4 Mg 3.44, 8 Sc 3.52



Entry 2:
Crystalline Ti2NbCoH at its relaxed geometry, computed with PBE.

Values from the calculation:
density of states at the Fermi level	1.143	states/eV/atom
total moment	0.00	μB/atom
calculated total energy	-0.53962	Ry/atom

Unit cell a=3.9305 b=3.9305 c=4.1497 alpha=90.00 beta=90.00 gamma=90.00
Last column: nearest neighbours and their distance in Å.
Fractional positions:
1 H 0.0000 0.0000 0.0000  4 Ti 1.97, 2 Nb 2.07
2 Nb 0.0000 0.0000 0.5000  2 H 2.07
3 Co 0.5000 0.5000 0.5000  4 Nb 2.78, 8 Ti 2.86
4 Ti 0.0000 0.5000 0.0000  2 H 1.97
5 Ti 0.5000 0.0000 0.0000  2 H 1.97



Entry 3:
Crystalline BaWSe2 at its relaxed geometry, computed with PBE.

Values from the calculation:
density of states at the Fermi level	1.088	states/eV/atom
total moment	0.23	μB/atom
uncorrected formation energy	0.334	eV per atom
calculated total energy	-0.37686	Ry/atom

Unit cell a=9.8993 b=9.8993 c=9.8993 alpha=20.64 beta=20.64 gamma=20.64
Last column: nearest neighbours and their distance in Å.
Fractional positions:
1 Ba 0.7498 0.7498 0.7498  3 Se 3.13
2 Se 0.0015 0.0015 0.0015  3 Ba 3.13
3 Se 0.2332 0.2332 0.2332  3 W 2.53
4 W 0.5156 0.5156 0.5156  3 Se 2.53



Entry 4:
Crystalline TbGa2Mo at its relaxed geometry, computed with PBE.

Values from the calculation:
density of states at the Fermi level	0.647	states/eV/atom
total moment	0.00	μB/atom
E_form	0.03	eV per atom
calculated total energy	-0.39296	Ry/atom

Unit cell a=3.0623 b=3.0623 c=9.5965 alpha=80.82 beta=80.82 gamma=60.00
Last column: nearest neighbours and their distance in Å.
Fractional positions:
1 Mo 0.0000 0.0000 0.0000  6 Ga 2.75, 6 Mo 3.06
2 Tb 0.5000 0.5000 0.5000  6 Tb 3.06, 6 Ga 3.16
3 Ga 0.7410 0.7410 0.7771  3 Mo 2.75, 6 Ga 3.06
4 Ga 0.2590 0.2590 0.2229  3 Mo 2.75, 6 Ga 3.06



Entry 5:
Crystalline TcPt3Rh4 at its relaxed geometry, computed with PBE.

Values from the calculation:
density of states at the Fermi level	1.278	states/eV/atom
total moment	0.12	μB/atom
E_form	0.13	eV per atom
calculated total energy	-0.52259	Ry/atom

Unit cell a=4.7238 b=2.7132 c=11.8594 alpha=124.89 beta=101.49 gamma=90.00
Last column: nearest neighbours and their distance in Å.
Fractional positions:
1 Tc 0.5000 0.0000 0.0000  4 Rh 2.63, 2 Tc 2.71, 4 Pt 2.72
2 Pt 0.0000 0.5000 0.0000  2 Pt 2.71, 4 Tc 2.72, 4 Rh 2.73
3 Pt 0.2512 0.7558 0.5023  6 Pt 2.71-2.72, 4 Rh 2.73-2.79
4 Pt 0.7488 0.2442 0.4977  6 Pt 2.71-2.72, 4 Rh 2.73-2.79
5 Rh 0.6194 0.0973 0.2389  2 Tc 2.63, 6 Rh 2.71-2.73, 2 Pt 2.79
6 Rh 0.3806 0.9027 0.7611  2 Tc 2.63, 6 Rh 2.71-2.73, 2 Pt 2.79
7 Rh 0.8743 0.3712 0.7485  6 Rh 2.71-2.73, 4 Pt 2.73
8 Rh 0.1257 0.6288 0.2515  6 Rh 2.71-2.73, 4 Pt 2.73



Entry 6:
Crystalline U3Tl3NiS8 at its relaxed geometry, computed with PBE.

Values from the calculation:
density of states at the Fermi level	0.855	states/eV/atom
total moment	0.50	μB/atom
uncorrected formation energy	-0.894	eV per atom
calculated total energy	-0.45655	Ry/atom

Unit cell a=7.7238 b=7.7116 c=8.9091 alpha=115.60 beta=90.01 gamma=120.04
Last column: nearest neighbours and their distance in Å.
Fractional positions:
1 U 0.5000 0.0000 0.5000  6 S 2.69-2.72
2 U 0.5000 0.5000 0.5000  6 S 2.68-2.72
3 U 0.0000 0.5000 0.5000  6 S 2.68-2.72
4 Tl 0.0000 0.0000 0.0000  6 S 3.20-3.27
5 Tl 0.0000 0.5000 0.0000  6 S 3.20-3.27
6 Tl 0.5000 0.5000 0.0000  6 S 3.20-3.27
7 Ni 0.0000 0.0000 0.5000  6 S 2.56-2.59
8 S 0.2658 0.5317 0.2979  3 U 2.72
9 S 0.7342 0.4683 0.7021  3 U 2.72
10 S 0.7790 0.5579 0.3152  1 Ni 2.56, 2 U 2.69
11 S 0.2210 0.4421 0.6848  1 Ni 2.56, 2 U 2.69
12 S 0.7772 0.0365 0.3139  1 Ni 2.58, 2 U 2.68-2.69
13 S 0.2228 0.9635 0.6861  1 Ni 2.58, 2 U 2.68-2.69
14 S 0.2594 0.0365 0.3138  1 Ni 2.59, 2 U 2.68-2.69
15 S 0.7406 0.9635 0.6862  1 Ni 2.59, 2 U 2.68-2.69



Entry 7:
Crystalline KBaMg14 at its relaxed geometry, computed with PBE.

Values from the calculation:
density of states at the Fermi level	0.596	states/eV/atom
total moment	0.00	μB/atom
E_form	0.13	eV per atom
calculated total energy	-0.10702	Ry/atom

Unit cell a=6.8747 b=6.8747 c=10.6772 alpha=90.00 beta=90.00 gamma=120.00
Last column: nearest neighbours and their distance in Å.
Fractional positions:
1 K 0.0000 0.0000 0.0000  12 Mg 3.40-3.44
2 Ba 0.0000 0.0000 0.5000  12 Mg 3.44
3 Mg 0.0069 0.5034 0.0000  10 Mg 3.25-3.51, 2 K 3.44
4 Mg 0.0143 0.5071 0.5000  10 Mg 3.28-3.58, 2 Ba 3.44
5 Mg 0.4966 0.9931 0.0000  10 Mg 3.25-3.51, 2 K 3.44
6 Mg 0.4929 0.9857 0.5000  10 Mg 3.28-3.58, 2 Ba 3.44
7 Mg 0.4966 0.5034 0.0000  10 Mg 3.25-3.51, 2 K 3.44
8 Mg 0.4929 0.5071 0.5000  10 Mg 3.28-3.58, 2 Ba 3.44
9 Mg 0.1796 0.8204 0.2476  8 Mg 3.17-3.44, 1 K 3.40, 1 Ba 3.44
10 Mg 0.1796 0.8204 0.7524  8 Mg 3.17-3.44, 1 K 3.40, 1 Ba 3.44
11 Mg 0.1796 0.3593 0.2476  8 Mg 3.17-3.44, 1 K 3.40, 1 Ba 3.44
12 Mg 0.1796 0.3593 0.7524  8 Mg 3.17-3.44, 1 K 3.40, 1 Ba 3.44
13 Mg 0.6407 0.8204 0.2476  8 Mg 3.17-3.44, 1 K 3.40, 1 Ba 3.44
14 Mg 0.6407 0.8204 0.7524  8 Mg 3.17-3.44, 1 K 3.40, 1 Ba 3.44
15 Mg 0.6667 0.3333 0.2551  12 Mg 3.34-3.44
16 Mg 0.6667 0.3333 0.7449  12 Mg 3.34-3.44



Number 1: V 24.15 Å³ per atom. Number 2: V 12.82 Å³ per atom. Number 3: V 26.37 Å³ per atom. Number 4: V 19.15 Å³ per atom. Number 5: V 15.12 Å³ per atom. Number 6: V 26.54 Å³ per atom. Number 7: V 27.31 Å³ per atom.